First-principles (PBE-GGA) data for Ru3W after structural relaxation, as listed in Alexandria via LeMat-Bulk.

Crystal system: orthorhombic
Energy of formation from the pure elements in eV/atom: 0.047

Unit cell a=4.7169 b=4.7169 c=2.7510 alpha=90.00 beta=90.00 gamma=108.74
Last column: nearest neighbours and their distance in Å.
Positions (direct):
Ru 0.0000 0.0000 0.0000  10 Ru 2.73-2.75, 2 W 2.75
Ru 0.5000 0.0000 0.5000  4 W 2.73, 8 Ru 2.73-2.75
Ru 0.0000 0.5000 0.5000  8 Ru 2.73-2.75, 4 W 2.73
W 0.5000 0.5000 0.0000  10 Ru 2.73-2.75, 2 W 2.75



First-principles (PBE-GGA) data for RuW2 after structural relaxation, as listed in Alexandria via LeMat-Bulk.

Crystal system: orthorhombic
Polymorph energy (0 for the lowest one) in meV per atom: 129.9
Energy of formation from the pure elements in eV/atom: 0.161

Unit cell a=6.3967 b=6.3967 c=3.9068 alpha=90.00 beta=90.00 gamma=144.36
Last column: nearest neighbours and their distance in Å.
Positions (direct):
W 0.4245 0.5755 0.2500  6 W 2.68-2.93, 6 Ru 2.73-2.77
W 0.7460 0.2540 0.2500  8 W 2.77-2.93, 4 Ru 2.80-2.87
W 0.5755 0.4245 0.7500  6 W 2.68-2.93, 6 Ru 2.73-2.77
W 0.2540 0.7460 0.7500  8 W 2.77-2.93, 4 Ru 2.80-2.87
Ru 0.0813 0.9187 0.2500  10 W 2.73-2.87, 2 Ru 2.78
Ru 0.9187 0.0813 0.7500  10 W 2.73-2.87, 2 Ru 2.78



First-principles (PBE-GGA) data for Ru3W after structural relaxation, as listed in Alexandria via LeMat-Bulk.

Crystal system: cubic
Energy of formation from the pure elements in eV/atom: 2.333

Unit cell a=4.7330 b=4.7330 c=4.7330 alpha=90.00 beta=90.00 gamma=90.00
Last column: nearest neighbours and their distance in Å.
Positions (direct):
W 0.0000 0.0000 0.0000  6 Ru 2.37
Ru 0.5000 0.0000 0.0000  2 W 2.37
Ru 0.0000 0.5000 0.0000  2 W 2.37
Ru 0.0000 0.0000 0.5000  2 W 2.37



> Which value of energy of formation from the pure elements does entry 3 give?

2.333 eV/atom



> Which formula does entry 3 have?

Ru3W